No. 1
Density functional theory data (GGA-PBE) for a geometry-optimized Li2Zn4Ni5 structure.

Output
Polymorph energy (0 for the lowest one), eV/atom: 0.137
M_tot, μB/cell: 0.33
Space group: No. 69
E_form, eV/atom: -0.001

a = 8.9880 Å, b = 8.3388 Å, c = 4.8256 Å
α = 81.40°, β = 66.54°, γ = 32.06°
Last column: nearest neighbours and their distance in Å.
Atoms (fractional coordinates):
Li 0.0955 0.0955 0.9045  6 Zn 2.85, 6 Ni 2.85-2.89, 1 Li 3.05
Li 0.9045 0.9045 0.0955  6 Zn 2.85, 6 Ni 2.85-2.89, 1 Li 3.05
Zn 0.2082 0.5348 0.4652  5 Ni 2.40-2.49
Zn 0.4652 0.7918 0.2082  5 Ni 2.40-2.49
Zn 0.5348 0.2082 0.7918  5 Ni 2.40-2.49
Zn 0.7918 0.4652 0.5348  5 Ni 2.40-2.49
Ni 0.0000 0.0000 0.5000  4 Ni 2.41-2.45, 4 Zn 2.49
Ni 0.2500 0.2500 0.2500  4 Zn 2.40, 2 Ni 2.45
Ni 0.5000 0.5000 0.0000  4 Ni 2.41-2.45, 4 Zn 2.49
Ni 0.5000 0.5000 0.5000  4 Ni 2.41, 4 Zn 2.46
Ni 0.7500 0.7500 0.7500  4 Zn 2.40, 2 Ni 2.45

=====

No. 2
Density functional theory data (GGA-PBE) for a geometry-optimized Sb2RuRh structure.

Output
Polymorph energy (0 for the lowest one), eV/atom: 0.060
Formation energy without anion corrections, eV/atom: -0.10
M_tot, μB/cell: 0.00
Space group: No. 8

a = 5.0785 Å, b = 5.0785 Å, c = 4.5627 Å
α = 100.70°, β = 100.70°, γ = 39.30°
Last column: nearest neighbours and their distance in Å.
Atoms (fractional coordinates):
Sb 0.0000 0.0000 0.0000  3 Rh 2.70-2.75, 4 Ru 2.81-2.90
Sb 0.2444 0.2444 0.5857  3 Ru 2.71-2.74, 4 Rh 2.81-2.89
Ru 0.5195 0.5195 0.4953  7 Sb 2.71-2.90, 1 Rh 2.98
Rh 0.7292 0.7292 0.0906  7 Sb 2.70-2.89, 1 Ru 2.98

=====

No. 3
Density functional theory data (GGA-PBE) for a geometry-optimized Al3Sn structure.

Output
M_tot, μB/cell: 0.00
Space group: No. 221
E_form, eV/atom: 0.155

a = 4.2799 Å, b = 4.2799 Å, c = 4.2799 Å
α = 90.00°, β = 90.00°, γ = 90.00°
Last column: nearest neighbours and their distance in Å.
Atoms (fractional coordinates):
Al 0.0000 0.0000 0.5000  4 Sn 3.03, 8 Al 3.03
Al 0.0000 0.5000 0.0000  4 Sn 3.03, 8 Al 3.03
Al 0.5000 0.0000 0.0000  4 Sn 3.03, 8 Al 3.03
Sn 0.5000 0.5000 0.5000  12 Al 3.03

=====

No. 4
Density functional theory data (GGA-PBE) for a geometry-optimized SnIr3F structure.

Output
Polymorph energy (0 for the lowest one), eV/atom: 0.000
Formation energy without anion corrections, eV/atom: 1.08
M_tot, μB/cell: 0.00
Space group: No. 221

a = 4.3380 Å, b = 4.3380 Å, c = 4.3380 Å
α = 90.00°, β = 90.00°, γ = 90.00°
Last column: nearest neighbours and their distance in Å.
Atoms (fractional coordinates):
Sn 0.0000 0.0000 0.0000  12 Ir 3.07
Ir 0.0000 0.5000 0.5000  2 F 2.17
Ir 0.5000 0.0000 0.5000  2 F 2.17
Ir 0.5000 0.5000 0.0000  2 F 2.17
F 0.5000 0.5000 0.5000  6 Ir 2.17

=====

No. 5
Density functional theory data (GGA-PBE) for a geometry-optimized RbTaBi3 structure.

Output
Polymorph energy (0 for the lowest one), eV/atom: 0.000
M_tot, μB/cell: 0.00
Space group: No. 221
E_form, eV/atom: 0.178

a = 5.6279 Å, b = 5.6279 Å, c = 5.6279 Å
α = 90.00°, β = 90.00°, γ = 90.00°
Last column: nearest neighbours and their distance in Å.
Atoms (fractional coordinates):
Rb 0.0000 0.0000 0.0000  12 Bi 3.98
Ta 0.5000 0.5000 0.5000  6 Bi 2.81
Bi 0.0000 0.5000 0.5000  2 Ta 2.81
Bi 0.5000 0.0000 0.5000  2 Ta 2.81
Bi 0.5000 0.5000 0.0000  2 Ta 2.81

=====

No. 6
Density functional theory data (GGA-PBE) for a geometry-optimized Tl3CrIn3I8 structure.

Output
Formation energy without anion corrections, eV/atom: -0.48
M_tot, μB/cell: 4.00
Space group: No. 166

a = 9.8730 Å, b = 9.8730 Å, c = 9.8730 Å
α = 59.73°, β = 59.73°, γ = 59.73°
Last column: nearest neighbours and their distance in Å.
Atoms (fractional coordinates):
Tl 0.0000 0.5000 0.5000  6 I 3.50-3.54
Tl 0.5000 0.0000 0.5000  6 I 3.50-3.54
Tl 0.5000 0.5000 0.0000  6 I 3.50-3.54
Cr 0.5000 0.5000 0.5000  6 I 2.92
In 0.0000 0.0000 0.5000  6 I 3.47-3.51
In 0.0000 0.5000 0.0000  6 I 3.47-3.51
In 0.5000 0.0000 0.0000  6 I 3.47-3.51
I 0.2488 0.2488 0.2488  3 In 3.47, 3 Tl 3.50
I 0.2886 0.7095 0.7095  1 Cr 2.92
I 0.2905 0.2905 0.7114  1 Cr 2.92
I 0.2905 0.7114 0.2905  1 Cr 2.92
I 0.7095 0.2886 0.7095  1 Cr 2.92
I 0.7095 0.7095 0.2886  1 Cr 2.92
I 0.7114 0.2905 0.2905  1 Cr 2.92
I 0.7512 0.7512 0.7512  3 In 3.47, 3 Tl 3.50

=====

No. 7
Density functional theory data (GGA-PBE) for a geometry-optimized Ba2LiH structure.

Output
Polymorph energy (0 for the lowest one), eV/atom: 0.319
M_tot, μB/cell: 0.00
Space group: No. 225

a = 5.8249 Å, b = 5.8249 Å, c = 5.8249 Å
α = 60.00°, β = 60.00°, γ = 60.00°
Last column: nearest neighbours and their distance in Å.
Atoms (fractional coordinates):
Ba 0.2500 0.2500 0.2500  4 H 3.57, 4 Li 3.57
Ba 0.7500 0.7500 0.7500  4 Li 3.57, 4 H 3.57
Li 0.0000 0.0000 0.0000  8 Ba 3.57
H 0.5000 0.5000 0.5000  8 Ba 3.57

=====

No. 8
Density functional theory data (GGA-PBE) for a geometry-optimized Al4B2O9 structure.

Output
Formation energy without anion corrections, eV/atom: -2.65
M_tot, μB/cell: 0.00
Space group: No. 10

a = 7.6729 Å, b = 2.7213 Å, c = 7.8329 Å
α = 90.00°, β = 91.87°, γ = 90.00°
Last column: nearest neighbours and their distance in Å.
Atoms (fractional coordinates):
Al 0.0000 0.0000 0.0000  6 O 1.87-1.89
Al 0.1528 0.5000 0.6633  4 O 1.71-1.78
Al 0.5000 0.0000 0.5000  4 O 1.83
Al 0.8472 0.5000 0.3367  4 O 1.71-1.78
B 0.2703 0.5000 0.2163  1 O 1.33
B 0.7297 0.5000 0.7837  1 O 1.33
O 0.0000 0.5000 0.5000  2 Al 1.71
O 0.1321 0.0000 0.8040  3 Al 1.76-1.87
O 0.1434 0.5000 0.0956  1 B 1.33
O 0.3369 0.0000 0.2716  2 B 1.51
O 0.3670 0.5000 0.5829  3 Al 1.78-1.83
O 0.6330 0.5000 0.4171  3 Al 1.78-1.83
O 0.6631 0.0000 0.7284  2 B 1.51
O 0.8566 0.5000 0.9044  1 B 1.33
O 0.8679 0.0000 0.1960  3 Al 1.76-1.87

=====

No. 9
Density functional theory data (GGA-PBE) for a geometry-optimized La8TcAg2C structure.

Output
M_tot, μB/cell: 0.00
Space group: No. 2
E_form, eV/atom: -0.078

a = 6.9603 Å, b = 7.4012 Å, c = 7.8661 Å
α = 105.15°, β = 106.64°, γ = 91.88°
Last column: nearest neighbours and their distance in Å.
Atoms (fractional coordinates):
La 0.1677 0.1952 0.4667  1 C 2.56
La 0.1845 0.1645 0.9612  1 Tc 2.82
La 0.2549 0.6452 0.3604  1 C 2.67, 1 Tc 2.78
La 0.2558 0.6429 0.8377  1 C 2.65, 1 Tc 2.79
La 0.7442 0.3571 0.1623  1 C 2.65, 1 Tc 2.79
La 0.7451 0.3548 0.6397  1 C 2.67, 1 Tc 2.78
La 0.8155 0.8355 0.0388  1 Tc 2.82
La 0.8323 0.8048 0.5333  1 C 2.56
Tc 0.0000 0.5000 0.0000  6 La 2.78-2.82
Ag 0.4953 0.9992 0.7341  8 La 3.26-3.61
Ag 0.5047 0.0008 0.2659  8 La 3.26-3.61
C 0.0000 0.5000 0.5000  6 La 2.56-2.67

=====

No. 10
Density functional theory data (GGA-PBE) for a geometry-optimized LiCrSbPd structure.

Output
Formation energy without anion corrections, eV/atom: -0.25
M_tot, μB/cell: 4.01
Space group: No. 216

a = 4.5442 Å, b = 4.5442 Å, c = 4.5442 Å
α = 60.00°, β = 60.00°, γ = 60.00°
Last column: nearest neighbours and their distance in Å.
Atoms (fractional coordinates):
Li 0.0000 0.0000 0.0000  4 Cr 2.78, 4 Pd 2.78
Cr 0.7500 0.7500 0.7500  4 Li 2.78, 4 Sb 2.78
Sb 0.5000 0.5000 0.5000  4 Cr 2.78, 4 Pd 2.78
Pd 0.2500 0.2500 0.2500  4 Sb 2.78, 4 Li 2.78

=====

- Which formula does entry 4 have?
  SnIr3F